LaTbTl4 | GGA-PBE | optimized geometry

Its total moment is 0.00 μB per formula unit. As for the calculated formation energy: -278 meV per atom.

It has space group P2/m (No. 10), with a = 3.8870 Å, b = 5.1112 Å, c = 8.8167 Å, α = 90.00°, β = 90.38° and γ = 90.00°. The distinct sites, in fractional coordinates, are La at (0.0000, 0.0000, 0.0000), Tb at (0.0000, 0.5000, 0.5000), Tl at (0.3564, 0.0000, 0.6612) and Tl at (0.3801, 0.5000, 0.1731).